## RbMn2AgI8 (PBE)

Data for a relaxed structure of RbMn2AgI8.

Results
- crystal system = trigonal
- uncorrected formation energy (meV/atom) = -472
- space-group type = P-3, No. 147
- DOS(E_F) (states/eV per atom) = 0.61

Cell: 7.4010 7.4010 10.3220 Å, 90.00 90.00 120.00°
Site moments in Bohr magnetons follow the coordinates.
Element x y z (fractional)
I 0.3235 0.0016 0.6750  -0.05
I 0.9984 0.3218 0.6750  -0.05
I 0.3333 0.6667 0.9953  -0.02
I 0.0016 0.6782 0.3250  -0.05
I 0.6765 0.9984 0.3250  -0.05
I 0.6667 0.3333 0.0047  -0.02
I 0.3218 0.3235 0.3250  -0.05
I 0.6782 0.6765 0.6750  -0.05
Rb 0.0000 0.0000 0.0000  0.00
Mn 0.3333 0.6667 0.7441  3.86
Mn 0.6667 0.3333 0.2559  3.86
Ag 0.0000 0.0000 0.5000  -0.09

## Rb3Mn2AgI9 (PBE)

Data for a relaxed structure of Rb3Mn2AgI9.

Results
- crystal system = trigonal
- uncorrected formation energy (meV/atom) = -774
- space-group type = P-3m1, No. 164
- DOS(E_F) (states/eV per atom) = 0.12

Cell: 8.1981 8.1981 10.0921 Å, 90.00 90.00 120.00°
Site moments in Bohr magnetons follow the coordinates.
Element x y z (fractional)
I 0.5000 0.0000 0.0000  0.01
I 0.6594 0.8297 0.3248  0.01
I 0.1703 0.3406 0.3248  0.01
I 0.3406 0.1703 0.6752  0.01
I 0.1703 0.8297 0.3248  0.01
I 0.0000 0.5000 0.0000  0.01
I 0.8297 0.6594 0.6752  0.01
I 0.8297 0.1703 0.6752  0.01
I 0.5000 0.5000 0.0000  0.01
Mn 0.6667 0.3333 0.8300  4.11
Mn 0.3333 0.6667 0.1700  4.11
Rb 0.3333 0.6667 0.6623  0.00
Rb 0.6667 0.3333 0.3377  0.00
Rb 0.0000 0.0000 0.0000  0.00
Ag 0.0000 0.0000 0.5000  -0.02

## RbMnAg2I6 (PBE)

Data for a relaxed structure of RbMnAg2I6.

Results
- crystal system = monoclinic
- uncorrected formation energy (meV/atom) = -500
- space-group type = C2/c, No. 15
- DOS(E_F) (states/eV per atom) = 0.25

Cell: 8.3661 10.8968 10.8968 Å, 82.11 72.35 72.35°
Site moments in Bohr magnetons follow the coordinates.
Element x y z (fractional)
I 0.7103 0.8263 0.9435  -0.01
I 0.4795 0.1621 0.6056  -0.01
I 0.9910 0.2778 0.4620  -0.03
I 0.5205 0.8379 0.3944  -0.01
I 0.5090 0.5380 0.7222  -0.03
I 0.7897 0.0565 0.1737  -0.01
I 0.0205 0.3944 0.8379  -0.01
I 0.4910 0.4620 0.2778  -0.03
I 0.2103 0.9435 0.8263  -0.01
I 0.9795 0.6056 0.1621  -0.01
I 0.2897 0.1737 0.0565  -0.01
I 0.0090 0.7222 0.5380  -0.03
Ag 0.1273 0.4963 0.3756  -0.02
Ag 0.8727 0.5037 0.6244  -0.02
Ag 0.6273 0.3756 0.4963  -0.02
Ag 0.3727 0.6244 0.5037  -0.02
Rb 0.7500 0.1688 0.8312  0.00
Rb 0.2500 0.8312 0.1688  0.00
Mn 0.2500 0.1692 0.8308  3.74
Mn 0.7500 0.8308 0.1692  3.74

## Mn2AgSI (PBE)

Data for a relaxed structure of Mn2AgSI.

Results
- crystal system = tetragonal
- uncorrected formation energy (meV/atom) = 1676
- space-group type = P4/mmm, No. 123
- DOS(E_F) (states/eV per atom) = 1.58

Cell: 5.1337 4.4923 5.1337 Å, 90.00 90.00 90.00°
Site moments in Bohr magnetons follow the coordinates.
Element x y z (fractional)
S 0.0000 0.5000 0.0000  0.04
Mn 0.5000 0.0000 0.0000  0.30
Mn 0.0000 0.0000 0.5000  0.10
Ag 0.0000 0.0000 0.0000  0.00
I 0.5000 0.5000 0.5000  -0.06

## MnAgSbI2 (PBE)

Data for a relaxed structure of MnAgSbI2.

Results
- crystal system = tetragonal
- uncorrected formation energy (meV/atom) = 394
- space-group type = P4/mmm, No. 123
- DOS(E_F) (states/eV per atom) = 0.46
- energy above the lowest structure with this stoichiometry (meV per atom) = 0

Cell: 5.6147 5.6147 5.1457 Å, 90.00 90.00 90.00°
Site moments in Bohr magnetons follow the coordinates.
Element x y z (fractional)
Mn 0.0000 0.0000 0.0000  3.58
I 0.5000 0.0000 0.0000  -0.04
I 0.0000 0.5000 0.0000  -0.04
Sb 0.0000 0.0000 0.5000  -0.36
Ag 0.5000 0.5000 0.5000  0.01

## MnAgSbI2 (PBE)

Data for a relaxed structure of MnAgSbI2.

Results
- crystal system = tetragonal
- uncorrected formation energy (meV/atom) = 702
- space-group type = P4/mmm, No. 123
- DOS(E_F) (states/eV per atom) = 0.61
- energy above the lowest structure with this stoichiometry (meV per atom) = 308

Cell: 5.6947 5.6947 5.5299 Å, 90.00 90.00 90.00°
Site moments in Bohr magnetons follow the coordinates.
Element x y z (fractional)
Ag 0.0000 0.0000 0.0000  0.04
Sb 0.0000 0.0000 0.5000  0.45
I 0.5000 0.0000 0.0000  0.03
I 0.0000 0.5000 0.0000  0.03
Mn 0.5000 0.5000 0.5000  -4.65

## MnAgSb2I (PBE)

Data for a relaxed structure of MnAgSb2I.

Results
- crystal system = tetragonal
- uncorrected formation energy (meV/atom) = 1423
- space-group type = P4/mmm, No. 123
- DOS(E_F) (states/eV per atom) = 1.42
- energy above the lowest structure with this stoichiometry (meV per atom) = 938

Cell: 5.3295 5.3295 5.5949 Å, 90.00 90.00 90.00°
Site moments in Bohr magnetons follow the coordinates.
Element x y z (fractional)
Sb 0.5000 0.0000 0.0000  -0.08
Sb 0.0000 0.5000 0.0000  -0.08
Ag 0.0000 0.0000 0.0000  -0.01
I 0.0000 0.0000 0.5000  -0.06
Mn 0.5000 0.5000 0.5000  -0.36

## MnAgSb2I (PBE)

Data for a relaxed structure of MnAgSb2I.

Results
- crystal system = tetragonal
- uncorrected formation energy (meV/atom) = 485
- space-group type = P4/mmm, No. 123
- DOS(E_F) (states/eV per atom) = 0.60
- energy above the lowest structure with this stoichiometry (meV per atom) = 0

Cell: 4.9791 4.9791 5.8586 Å, 90.00 90.00 90.00°
Site moments in Bohr magnetons follow the coordinates.
Element x y z (fractional)
I 0.0000 0.0000 0.5000  -0.07
Sb 0.0000 0.5000 0.0000  -0.16
Sb 0.5000 0.0000 0.0000  -0.16
Ag 0.5000 0.5000 0.5000  -0.01
Mn 0.0000 0.0000 0.0000  2.68

## MnAgSb2I (PBE)

Data for a relaxed structure of MnAgSb2I.

Results
- crystal system = tetragonal
- uncorrected formation energy (meV/atom) = 1229
- space-group type = P4/mmm, No. 123
- DOS(E_F) (states/eV per atom) = 1.00
- energy above the lowest structure with this stoichiometry (meV per atom) = 744

Cell: 5.8978 4.9861 5.8978 Å, 90.00 90.00 90.00°
Site moments in Bohr magnetons follow the coordinates.
Element x y z (fractional)
Sb 0.0000 0.0000 0.5000  -0.03
Sb 0.5000 0.0000 0.0000  -0.04
Ag 0.5000 0.5000 0.5000  0.00
I 0.0000 0.0000 0.0000  0.00
Mn 0.0000 0.5000 0.0000  -3.92

## MnAg2SnI6 (PBE)

Data for a relaxed structure of MnAg2SnI6.

Results
- crystal system = trigonal
- uncorrected formation energy (meV/atom) = -324
- space-group type = R3, No. 146

Cell: 7.6454 7.6444 8.4275 Å, 63.03 63.02 59.99°
Site moments in Bohr magnetons follow the coordinates.
Element x y z (fractional)
I 0.9488 0.5658 0.2624  0.03
I 0.2230 0.9487 0.2625  0.03
I 0.7176 0.0933 0.7927  0.03
I 0.0936 0.3962 0.7926  0.03
I 0.5658 0.2231 0.2624  0.03
I 0.3961 0.7176 0.7927  0.03
Ag 0.5845 0.5845 0.2466  0.01
Ag 0.9969 0.9971 0.0096  0.01
Sn 0.8082 0.8083 0.5746  0.03
Mn 0.3271 0.3268 0.0190  4.32

## MnAgTeI2 (PBE)

Data for a relaxed structure of MnAgTeI2.

Results
- crystal system = tetragonal
- uncorrected formation energy (meV/atom) = 503
- space-group type = P4/mmm, No. 123
- DOS(E_F) (states/eV per atom) = 1.00
- energy above the lowest structure with this stoichiometry (meV per atom) = 0

Cell: 5.6064 4.8078 5.6064 Å, 90.00 90.00 90.00°
Site moments in Bohr magnetons follow the coordinates.
Element x y z (fractional)
Mn 0.0000 0.0000 0.0000  -0.39
Te 0.0000 0.5000 0.0000  0.07
I 0.0000 0.0000 0.5000  0.01
I 0.5000 0.0000 0.0000  0.06
Ag 0.5000 0.5000 0.5000  -0.01

## MnAgTeI2 (PBE)

Data for a relaxed structure of MnAgTeI2.

Results
- crystal system = tetragonal
- uncorrected formation energy (meV/atom) = 681
- space-group type = P4/mmm, No. 123
- DOS(E_F) (states/eV per atom) = 1.07
- energy above the lowest structure with this stoichiometry (meV per atom) = 177

Cell: 5.6172 5.3795 5.6172 Å, 90.00 90.00 90.00°
Site moments in Bohr magnetons follow the coordinates.
Element x y z (fractional)
I 0.5000 0.0000 0.0000  0.08
I 0.0000 0.0000 0.5000  0.05
Te 0.5000 0.5000 0.5000  0.58
Ag 0.0000 0.0000 0.0000  -0.03
Mn 0.0000 0.5000 0.0000  -4.42

## Mn2TlAgI6 (PBE)

Data for a relaxed structure of Mn2TlAgI6.

Results
- crystal system = monoclinic
- uncorrected formation energy (meV/atom) = -413
- space-group type = C2/c, No. 15
- DOS(E_F) (states/eV per atom) = 0.00

Cell: 8.2854 10.6685 10.6685 Å, 87.62 75.37 75.37°
Site moments in Bohr magnetons follow the coordinates.
Element x y z (fractional)
I 0.0710 0.6083 0.1347  0.05
I 0.9290 0.3917 0.8653  0.05
I 0.1793 0.9469 0.8052  0.05
I 0.6793 0.8052 0.9469  0.05
I 0.5193 0.5615 0.6954  0.07
I 0.4807 0.4385 0.3046  0.07
I 0.9807 0.3046 0.4385  0.07
I 0.8207 0.0531 0.1948  0.05
I 0.4290 0.8653 0.3917  0.05
I 0.3207 0.1948 0.0531  0.05
I 0.0193 0.6954 0.5615  0.07
I 0.5710 0.1347 0.6083  0.05
Ag 0.7500 0.7870 0.2130  0.02
Ag 0.2500 0.2130 0.7870  0.02
Tl 0.7500 0.1239 0.8761  0.01
Tl 0.2500 0.8761 0.1239  0.01
Mn 0.7945 0.6163 0.7613  4.30
Mn 0.7055 0.2387 0.3837  4.30
Mn 0.2055 0.3837 0.2387  4.30
Mn 0.2945 0.7613 0.6163  4.30

## MnTlAgI4 (PBE)

Data for a relaxed structure of MnTlAgI4.

Results
- crystal system = tetragonal
- uncorrected formation energy (meV/atom) = -432
- space-group type = I-4, No. 82
- DOS(E_F) (states/eV per atom) = 0.00

Cell: 7.5654 7.5654 7.8720 Å, 118.72 118.72 90.00°
Site moments in Bohr magnetons follow the coordinates.
Element x y z (fractional)
I 0.1690 0.1127 0.7175  0.04
I 0.5485 0.6048 0.7175  0.04
I 0.8873 0.4515 0.2825  0.04
I 0.3952 0.8310 0.2825  0.04
Ag 0.5000 0.5000 0.0000  0.02
Mn 0.2500 0.7500 0.5000  4.27
Tl 0.0000 0.0000 0.0000  0.01

## Y2MnAgI (PBE)

Data for a relaxed structure of Y2MnAgI.

Results
- crystal system = tetragonal
- uncorrected formation energy (meV/atom) = 754
- space-group type = P4/mmm, No. 123
- DOS(E_F) (states/eV per atom) = 1.60

Cell: 5.5294 5.6941 5.5294 Å, 90.00 90.00 90.00°
Site moments in Bohr magnetons follow the coordinates.
Element x y z (fractional)
I 0.0000 0.5000 0.0000  0.03
Y 0.5000 0.0000 0.0000  -0.13
Y 0.0000 0.0000 0.5000  -0.13
Ag 0.0000 0.0000 0.0000  0.00
Mn 0.5000 0.5000 0.5000  4.30

## AgMoI2 (PBE)

Data for a relaxed structure of AgMoI2.

Results
- crystal system = tetragonal
- uncorrected formation energy (meV/atom) = 642
- space-group type = I-42d, No. 122
- DOS(E_F) (states/eV per atom) = 0.03
- energy above the lowest structure with this stoichiometry (meV per atom) = 0

Cell: 6.7088 6.7088 8.2351 Å, 65.96 65.96 90.00°
Site moments in Bohr magnetons follow the coordinates.
Element x y z (fractional)
Ag 0.7500 0.2500 0.5000  0.05
Ag 0.0000 0.0000 0.0000  0.05
I 0.6314 0.1250 0.2500  0.03
I 0.1186 0.6250 0.2500  0.03
I 0.3750 0.3686 0.7500  0.03
I 0.8750 0.8814 0.7500  0.03
Mo 0.2500 0.7500 0.5000  3.74
Mo 0.5000 0.5000 0.0000  3.74

## AgMo2I (PBE)

Data for a relaxed structure of AgMo2I.

Results
- crystal system = tetragonal
- uncorrected formation energy (meV/atom) = 1073
- space-group type = I-42d, No. 122
- DOS(E_F) (states/eV per atom) = 1.07
- energy above the lowest structure with this stoichiometry (meV per atom) = 36

Cell: 3.9918 3.9918 10.6937 Å, 79.24 79.24 90.00°
Element x y z (fractional)
Ag 0.2500 0.7500 0.5000
Ag 0.5000 0.5000 0.0000
Mo 0.1831 0.6250 0.2500
Mo 0.8750 0.8169 0.7500
Mo 0.5669 0.1250 0.2500
Mo 0.3750 0.4331 0.7500
I 0.0000 0.0000 0.0000
I 0.7500 0.2500 0.5000

## AgMo3I (PBE)

Data for a relaxed structure of AgMo3I.

Results
- crystal system = cubic
- uncorrected formation energy (meV/atom) = 2132
- space-group type = Pm-3m, No. 221
- DOS(E_F) (states/eV per atom) = 0.94
- energy above the lowest structure with this stoichiometry (meV per atom) = 0

Cell: 4.8676 4.8676 4.8676 Å, 90.00 90.00 90.00°
Element x y z (fractional)
Mo 0.5000 0.0000 0.0000
Mo 0.0000 0.5000 0.0000
Mo 0.0000 0.0000 0.5000
Ag 0.5000 0.5000 0.5000
I 0.0000 0.0000 0.0000

## Ag2MoI (PBE)

Data for a relaxed structure of Ag2MoI.

Results
- crystal system = cubic
- uncorrected formation energy (meV/atom) = 1107
- space-group type = Fm-3m, No. 225
- DOS(E_F) (states/eV per atom) = 0.88
- energy above the lowest structure with this stoichiometry (meV per atom) = 184

Cell: 5.0353 5.0353 5.0353 Å, 60.00 60.00 60.00°
Site moments in Bohr magnetons follow the coordinates.
Element x y z (fractional)
Ag 0.7500 0.7500 0.7500  0.05
Ag 0.2500 0.2500 0.2500  0.05
I 0.5000 0.5000 0.5000  0.08
Mo 0.0000 0.0000 0.0000  3.30

## Ag3MoI (PBE)

Data for a relaxed structure of Ag3MoI.

Results
- crystal system = cubic
- uncorrected formation energy (meV/atom) = 1439
- space-group type = Pm-3m, No. 221
- DOS(E_F) (states/eV per atom) = 0.87
- energy above the lowest structure with this stoichiometry (meV per atom) = 0

Cell: 5.1948 5.1948 5.1948 Å, 90.00 90.00 90.00°
Element x y z (fractional)
Ag 0.0000 0.5000 0.0000
Ag 0.0000 0.0000 0.5000
Ag 0.5000 0.0000 0.0000
I 0.5000 0.5000 0.5000
Mo 0.0000 0.0000 0.0000

## AgMoI2 (PBE)

Data for a relaxed structure of AgMoI2.

Results
- crystal system = cubic
- uncorrected formation energy (meV/atom) = 844
- space-group type = Fm-3m, No. 225
- DOS(E_F) (states/eV per atom) = 0.43
- energy above the lowest structure with this stoichiometry (meV per atom) = 202

Cell: 5.0281 5.0281 5.0281 Å, 60.00 60.00 60.00°
Site moments in Bohr magnetons follow the coordinates.
Element x y z (fractional)
Ag 0.5000 0.5000 0.5000  0.01
I 0.2500 0.2500 0.2500  -0.02
I 0.7500 0.7500 0.7500  -0.02
Mo 0.0000 0.0000 0.0000  0.76

## AgMo2I (PBE)

Data for a relaxed structure of AgMo2I.

Results
- crystal system = cubic
- uncorrected formation energy (meV/atom) = 1037
- space-group type = Fm-3m, No. 225
- DOS(E_F) (states/eV per atom) = 1.08
- energy above the lowest structure with this stoichiometry (meV per atom) = 0

Cell: 4.6372 4.6372 4.6372 Å, 60.00 60.00 60.00°
Element x y z (fractional)
Mo 0.7500 0.7500 0.7500
Mo 0.2500 0.2500 0.2500
I 0.5000 0.5000 0.5000
Ag 0.0000 0.0000 0.0000

## Ag3MoI (PBE)

Data for a relaxed structure of Ag3MoI.

Results
- crystal system = cubic
- uncorrected formation energy (meV/atom) = 1581
- space-group type = Pm-3m, No. 221
- DOS(E_F) (states/eV per atom) = 0.70
- energy above the lowest structure with this stoichiometry (meV per atom) = 142

Cell: 5.4098 5.4098 5.4098 Å, 90.00 90.00 90.00°
Site moments in Bohr magnetons follow the coordinates.
Element x y z (fractional)
Ag 0.0000 0.0000 0.5000  -0.07
Ag 0.5000 0.0000 0.0000  0.03
Ag 0.0000 0.5000 0.0000  -0.01
I 0.0000 0.0000 0.0000  0.04
Mo 0.5000 0.5000 0.5000  3.78

## Ag2MoI (PBE)

Data for a relaxed structure of Ag2MoI.

Results
- crystal system = tetragonal
- uncorrected formation energy (meV/atom) = 923
- space-group type = I-42d, No. 122
- DOS(E_F) (states/eV per atom) = 0.11
- energy above the lowest structure with this stoichiometry (meV per atom) = 0

Cell: 8.1211 8.1211 6.3902 Å, 50.55 50.55 90.00°
Site moments in Bohr magnetons follow the coordinates.
Element x y z (fractional)
I 0.7500 0.2500 0.5000  0.01
I 0.0000 0.0000 0.0000  0.01
Mo 0.2500 0.7500 0.5000  2.62
Mo 0.5000 0.5000 0.0000  2.62
Ag 0.3750 0.3868 0.7500  0.01
Ag 0.1368 0.6250 0.2500  0.01
Ag 0.8750 0.8632 0.7500  0.01
Ag 0.6132 0.1250 0.2500  0.01

## AgMoI3 (PBE)

Data for a relaxed structure of AgMoI3.

Results
- crystal system = cubic
- uncorrected formation energy (meV/atom) = 437
- space-group type = Pm-3m, No. 221
- DOS(E_F) (states/eV per atom) = 0.50
- energy above the lowest structure with this stoichiometry (meV per atom) = 0

Cell: 5.6776 5.6776 5.6776 Å, 90.00 90.00 90.00°
Site moments in Bohr magnetons follow the coordinates.
Element x y z (fractional)
Mo 0.0000 0.0000 0.0000  2.94
I 0.0000 0.5000 0.0000  0.02
I 0.5000 0.0000 0.0000  0.04
I 0.0000 0.0000 0.5000  0.03
Ag 0.5000 0.5000 0.5000  0.02